Compound: SrZn2FeI
Source: the Alexandria database
Functional: PBE
Structure: relaxed

Cell lengths 6.187, 6.187, 5.693 Å; angles 90.00, 90.00, 90.00 degrees
Space group P4/mmm (No. 123)
Asymmetric unit:
Sr 0.000 0.000 0.000 [1 per cell]
Zn 0.000 0.500 0.000 [2 per cell]
Fe 0.000 0.000 0.500 [1 per cell]
I 0.500 0.500 0.500 [1 per cell]

Calculated values
* total magnetic moment: 3.06 μB/f.u.
* E_form (uncorrected): 0.9367 eV/atom